Compound: YbHo2S4
Source: the Alexandria database
Functional: PBE
Structure: relaxed Values from VASP.

## Properties
raw formation energy = -2.0713 eV per atom
mass density = 7.27 Mg/m³
V = 20.6 A^3/atom

Quantum ESPRESSO input file:
```
&SYSTEM
  ibrav = 0, nat = 14, ntyp = 3
/
ATOMIC_SPECIES
Yb 173.04 Yb.upf
Ho 164.93 Ho.upf
S 32.06 S.upf
CELL_PARAMETERS angstrom
-4.164 4.164 4.157
4.164 -4.164 4.157
4.164 4.164 -4.157
ATOMIC_POSITIONS angstrom
Yb 0.000 0.000 0.000
Yb 0.000 4.164 2.078
Ho 2.082 -1.058 3.118
Ho 3.107 2.082 1.039
Ho 2.082 5.222 -1.039
Ho 1.058 2.082 5.196
S 5.647 0.598 0.487
S 3.566 2.681 -1.591
S 0.598 2.681 -0.487
S 0.598 1.483 2.566
S 3.566 1.483 3.670
S 1.483 -0.598 5.748
S 2.681 4.763 1.591
S -1.483 3.566 4.644
```